# 1
DFT (PBE) results for an optimized crystal structure of PmSbPt4.

Geometry as extended XYZ:
```
6
Lattice="5.4581 0.0000 0.0000 2.7290 4.7268 0.0000 2.7290 1.5756 4.4565" Properties=species:S:1:pos:R:3 pbc="T T T"
Sb 0.0000 0.0000 0.0000
Pm 2.7290 1.5756 1.1141
Pt 5.4581 1.5759 2.7852
Pt 4.0938 3.9389 2.7852
Pt 5.4581 3.1512 0.5574
Pt 6.8223 3.9389 2.7852
```

***

# 2
DFT (PBE) results for an optimized crystal structure of Pm4Sb2Pt.

Geometry as extended XYZ:
```
7
Lattice="-3.5530 2.1748 1.2806 1.5116 -1.7178 7.1111 4.8634 5.7831 -3.7440" Properties=species:S:1:pos:R:3 pbc="T T T"
Sb 0.7826 3.0452 4.4156
Pm -0.6576 2.2729 1.7314
Sb 2.0393 3.1950 0.2321
Pm 1.9275 0.2266 4.9630
Pt 0.0000 0.0000 0.0000
Pm 0.8944 6.0136 -0.3153
Pm 3.4796 3.9673 2.9164
```

***

| no. | electronic total energy (eV per atom) | raw formation energy (meV/atom) | ΔE to the lowest computed polymorph (meV per atom) |
| --- | --- | --- | --- |
| 1 | -6.178 | -672 | 0 |
| 2 | -5.606 | -851 | 0 |